No. 1
## SrBe2Br (PBE)

Data for a geometry-optimized SrBe2Br structure.

It has space group Fm-3m (No. 225), with a = 7.2742 Å, b = 7.2742 Å, c = 7.2742 Å, α = 90.00°, β = 90.00° and γ = 90.00°. The asymmetric unit holds Sr at (0.0000, 0.0000, 0.0000), Be at (0.2500, 0.2500, 0.2500) and Br at (0.0000, 0.0000, 0.5000).

The energy above the most stable polymorph in this dataset comes out at 314 kJ/mol of formula units.



No. 2
## SrBe2Br (PBE)

Data for a geometry-optimized SrBe2Br structure.

It has space group Pm (No. 6), with a = 3.8759 Å, b = 4.1942 Å, c = 6.1450 Å, α = 90.00°, β = 90.07° and γ = 90.00°. The asymmetric unit holds Sr at (0.0000, 0.0000, 0.0000), Be at (0.5008, 0.0000, 0.3517), Be at (0.5005, 0.5000, 0.3226) and Br at (0.4998, 0.5000, 0.7510).

The energy above the most stable polymorph in this dataset comes out at 38 kJ/mol of formula units.



No. 3
## SrBeBr (PBE)

Data for a geometry-optimized SrBeBr structure.

It has space group F-43m (No. 216), with a = 7.1496 Å, b = 7.1496 Å, c = 7.1496 Å, α = 90.00°, β = 90.00° and γ = 90.00°. The asymmetric unit holds Sr at (0.0000, 0.0000, 0.0000), Be at (0.2500, 0.2500, 0.2500) and Br at (0.0000, 0.0000, 0.5000).

The energy above the most stable polymorph in this dataset comes out at 74 kJ/mol of formula units.



Number 1: total magnetization 0.00 μB/cell, formation energy from raw total energies 75 kJ/mol of atoms. Number 2: total magnetization 0.00 μB/cell, formation energy from raw total energies 6 kJ/mol of atoms. Number 3: total magnetization 0.00 μB/cell, formation energy from raw total energies 12 kJ/mol of atoms.